# 1
The following is a meta-GGA SCAN calculation of AlAg at its PBEsol-relaxed geometry, from Alexandria via LeMat-Bulk.

Unit cell a=3.9796 b=3.9796 c=8.1846 alpha=90.00 beta=90.00 gamma=90.00
Closest atoms and distances in Å follow each position.
Fractional coordinates of all 8 atoms:
Al  0.0000  0.2500  0.3750  8 Ag 2.81-2.85, 4 Al 2.85
Al  0.0000  0.7500  0.6250  8 Ag 2.81-2.85, 4 Al 2.85
Al  0.5000  0.2500  0.1250  8 Ag 2.81-2.85, 4 Al 2.85
Al  0.5000  0.7500  0.8750  8 Ag 2.81-2.85, 4 Al 2.85
Ag  0.0000  0.2500  0.8750  8 Al 2.81-2.85, 4 Ag 2.85
Ag  0.0000  0.7500  0.1250  8 Al 2.81-2.85, 4 Ag 2.85
Ag  0.5000  0.2500  0.6250  8 Al 2.81-2.85, 4 Ag 2.85
Ag  0.5000  0.7500  0.3750  8 Al 2.81-2.85, 4 Ag 2.85

Results
density	6.910	g/cm³
calculated formation energy	-0.056	eV per atom
E	-19.62	eV/atom

# 2
The following is a meta-GGA SCAN calculation of Al3Ag5 at its PBEsol-relaxed geometry, from Alexandria via LeMat-Bulk.

Unit cell a=6.9200 b=6.4603 c=4.8007 alpha=74.19 beta=63.93 gamma=41.88
Closest atoms and distances in Å follow each position.
Fractional coordinates of all 8 atoms:
Al  0.0000  0.0000  0.0000  10 Ag 2.81-2.91, 2 Al 2.92
Al  0.2532  0.2532  0.7468  9 Ag 2.77-2.85, 3 Al 2.91-2.92
Al  0.7468  0.7468  0.2532  9 Ag 2.77-2.85, 3 Al 2.91-2.92
Ag  0.1272  0.1272  0.3728  6 Al 2.77-2.81, 6 Ag 2.81-2.94
Ag  0.3728  0.3728  0.1272  6 Al 2.77-2.81, 6 Ag 2.81-2.94
Ag  0.5000  0.5000  0.5000  8 Ag 2.81, 4 Al 2.85-2.91
Ag  0.6272  0.6272  0.8728  6 Al 2.77-2.81, 6 Ag 2.81-2.94
Ag  0.8728  0.8728  0.6272  6 Al 2.77-2.81, 6 Ag 2.81-2.94

Results
density	8.038	g/cm³
calculated formation energy	-0.089	eV per atom
E	-22.60	eV/atom
energy relative to the lowest polymorph listed for this composition	23.8	meV per atom

# 3
The following is a meta-GGA SCAN calculation of Al2Ag3 at its PBEsol-relaxed geometry, from Alexandria via LeMat-Bulk.

Unit cell a=4.3399 b=4.3399 c=5.3509 alpha=90.00 beta=90.00 gamma=120.00
Closest atoms and distances in Å follow each position.
Fractional coordinates of all 5 atoms:
Al  0.3333  0.6667  0.3418  8 Ag 2.62-2.73
Al  0.6667  0.3333  0.6582  8 Ag 2.62-2.73
Ag  0.0000  0.0000  0.5000  6 Al 2.64
Ag  0.3333  0.6667  0.8528  5 Al 2.62-2.73
Ag  0.6667  0.3333  0.1472  5 Al 2.62-2.73

Results
density	7.183	g/cm³
calculated formation energy	-0.082	eV per atom
E	-22.00	eV/atom
energy relative to the lowest polymorph listed for this composition	15.6	meV per atom

# 4
The following is a meta-GGA SCAN calculation of AlAg at its PBEsol-relaxed geometry, from Alexandria via LeMat-Bulk.

Unit cell a=9.1141 b=3.0522 c=9.4634 alpha=90.00 beta=100.46 gamma=90.00
Closest atoms and distances in Å follow each position.
Fractional coordinates of all 16 atoms:
Al  0.0000  0.0000  0.0000  6 Ag 2.71-2.90, 4 Al 2.83
Al  0.0013  0.5000  0.7480  8 Ag 2.73-2.84, 4 Al 2.83-3.05
Al  0.0036  0.5000  0.2520  5 Ag 2.68-2.78, 5 Al 2.82-2.85
Al  0.2537  0.0000  0.3894  7 Ag 2.68-2.80, 3 Al 2.82-2.85
Al  0.5000  0.5000  0.0000  6 Ag 2.71-2.90, 4 Al 2.83
Al  0.5013  0.0000  0.7480  8 Ag 2.73-2.84, 4 Al 2.83-3.05
Al  0.5036  0.0000  0.2520  5 Ag 2.68-2.78, 5 Al 2.82-2.85
Al  0.7537  0.5000  0.3894  7 Ag 2.68-2.80, 3 Al 2.82-2.85
Ag  0.0004  0.0000  0.4946  7 Al 2.68-2.84, 3 Ag 2.79-2.87
Ag  0.2502  0.0000  0.8827  6 Al 2.71-2.84, 4 Ag 2.84-2.88
Ag  0.2539  0.5000  0.6308  5 Al 2.73-2.78, 7 Ag 2.79-3.05
Ag  0.2546  0.5000  0.1421  8 Al 2.68-2.90, 2 Ag 2.88
Ag  0.5004  0.5000  0.4946  7 Al 2.68-2.84, 3 Ag 2.79-2.87
Ag  0.7502  0.5000  0.8827  6 Al 2.71-2.84, 4 Ag 2.84-2.88
Ag  0.7539  0.0000  0.6308  5 Al 2.73-2.78, 7 Ag 2.79-3.05
Ag  0.7546  0.0000  0.1421  8 Al 2.68-2.90, 2 Ag 2.88

Results
density	6.920	g/cm³
calculated formation energy	-0.077	eV per atom
E	-19.64	eV/atom

# 5
The following is a meta-GGA SCAN calculation of AlAg at its PBEsol-relaxed geometry, from Alexandria via LeMat-Bulk.

Unit cell a=6.7068 b=2.9334 c=6.9504 alpha=90.00 beta=109.65 gamma=90.00
Closest atoms and distances in Å follow each position.
Fractional coordinates of all 8 atoms:
Al  0.0000  0.0000  0.0000  7 Ag 2.73-2.81, 5 Al 2.87-2.93
Al  0.1326  0.5000  0.3761  4 Ag 2.72-2.75, 8 Al 2.84-2.93
Al  0.2686  0.0000  0.7514  6 Ag 2.71-2.87, 6 Al 2.81-2.93
Al  0.5176  0.0000  0.4974  7 Ag 2.75-2.84, 5 Al 2.81-2.93
Ag  0.3698  0.5000  0.1264  7 Al 2.72-2.87, 5 Ag 2.88-2.93
Ag  0.6293  0.5000  0.8692  6 Al 2.71-2.84, 6 Ag 2.82-2.93
Ag  0.7672  0.0000  0.2546  4 Al 2.73-2.75, 8 Ag 2.89-2.93
Ag  0.9009  0.5000  0.6354  7 Al 2.75-2.83, 5 Ag 2.82-2.93

Results
density	6.955	g/cm³
calculated formation energy	-0.085	eV per atom
E	-19.64	eV/atom

# 6
The following is a meta-GGA SCAN calculation of AlAg2 at its PBEsol-relaxed geometry, from Alexandria via LeMat-Bulk.

Unit cell a=5.6239 b=5.6542 c=6.3981 alpha=76.77 beta=76.99 gamma=88.79
Closest atoms and distances in Å follow each position.
Fractional coordinates of all 12 atoms:
Al  0.0000  0.0000  0.0000  8 Ag 2.75-2.83, 4 Al 2.82-2.94
Al  0.0002  0.5004  0.0014  8 Ag 2.73-2.83, 4 Al 2.82-2.96
Al  0.1772  0.6641  0.3476  10 Ag 2.75-2.88, 2 Al 2.92-2.95
Al  0.6496  0.1625  0.3502  10 Ag 2.75-2.90, 2 Al 2.94-2.96
Ag  0.1448  0.1702  0.3290  6 Al 2.73-2.87, 6 Ag 2.79-2.97
Ag  0.3307  0.8333  0.6731  4 Al 2.77-2.83, 8 Ag 2.80-2.94
Ag  0.3335  0.3328  0.6731  4 Al 2.75-2.83, 8 Ag 2.80-2.97
Ag  0.4941  0.9950  0.0211  4 Al 2.78-2.82, 8 Ag 2.79-2.92
Ag  0.4956  0.4959  0.0200  4 Al 2.77-2.81, 8 Ag 2.81-2.91
Ag  0.6901  0.6657  0.3323  6 Al 2.75-2.86, 6 Ag 2.80-2.94
Ag  0.8323  0.8310  0.6772  4 Al 2.78-2.84, 8 Ag 2.80-2.89
Ag  0.8341  0.3298  0.6813  4 Al 2.75-2.90, 8 Ag 2.80-2.89

Results
density	8.359	g/cm³
calculated formation energy	-0.094	eV per atom
E	-23.59	eV/atom

> Which value of density does entry 3 give?

7.183 g/cm³